Record 1
This record from Alexandria via LeMat-Bulk describes an optimized crystal structure of LaCuP2Pd. The functional is PBE.

Results
Formation enthalpy at 0 K ... 0.14 eV per atom
Excess energy over the best structure of this formula in the dataset ... 994 meV per atom
Calculated density ... 5.866 g/cm³
DFT total energy ... -24.312 eV per cell

Unit cell a=4.447 b=4.447 c=5.307 alpha=90.00 beta=90.00 gamma=90.00
Atoms (fractional coordinates):
La (0.000, 0.000, 0.000)
Cu (0.000, 0.000, 0.500)
P (0.000, 0.500, 0.500)
P (0.500, 0.000, 0.500)
Pd (0.500, 0.500, 0.000)

Record 2
This record from Alexandria via LeMat-Bulk describes an optimized crystal structure of La2CuP4Pd3. The functional is PBE.

Results
Formation enthalpy at 0 K ... -0.93 eV per atom
Calculated density ... 7.257 g/cm³
DFT total energy ... -60.421 eV per cell

Unit cell a=4.329 b=4.329 c=9.581 alpha=90.00 beta=90.00 gamma=90.00
Atoms (fractional coordinates):
La (0.000, 0.500, 0.248)
La (0.500, 0.000, 0.752)
Cu (0.000, 0.000, 0.500)
P (0.000, 0.000, 0.000)
P (0.000, 0.500, 0.630)
P (0.500, 0.000, 0.370)
P (0.500, 0.500, 0.000)
Pd (0.000, 0.500, 0.886)
Pd (0.500, 0.000, 0.114)
Pd (0.500, 0.500, 0.500)

Record 3
This record from Alexandria via LeMat-Bulk describes an optimized crystal structure of La2CuP3Pd4. The functional is PBE.

Results
Formation enthalpy at 0 K ... -0.90 eV per atom
Calculated density ... 7.883 g/cm³
DFT total energy ... -59.998 eV per cell

Unit cell a=4.289 b=4.289 c=9.847 alpha=90.00 beta=90.00 gamma=90.00
Atoms (fractional coordinates):
La (0.000, 0.500, 0.250)
La (0.500, 0.000, 0.750)
Cu (0.000, 0.000, 0.500)
P (0.000, 0.500, 0.865)
P (0.500, 0.000, 0.135)
P (0.500, 0.500, 0.500)
Pd (0.000, 0.000, 0.000)
Pd (0.000, 0.500, 0.623)
Pd (0.500, 0.000, 0.377)
Pd (0.500, 0.500, 0.000)

Record 4
This record from Alexandria via LeMat-Bulk describes an optimized crystal structure of LaPmCuP. The functional is PBE.

Results
Formation enthalpy at 0 K ... -0.61 eV per atom
Calculated density ... 6.825 g/cm³
DFT total energy ... -21.631 eV per cell

Unit cell a=5.068 b=5.068 c=5.068 alpha=60.00 beta=60.00 gamma=60.00
Atoms (fractional coordinates):
La (0.000, 0.000, 0.000)
Pm (0.500, 0.500, 0.500)
Cu (0.250, 0.250, 0.250)
P (0.750, 0.750, 0.750)